BaAsPt2 | GGA-PBEsol | relaxed

Summary:
The total magnetization is 0.0 μB/cell. Its formation energy from the elements is -687 meV/atom. The total energy is -23.93 eV per formula unit. As for the space group: I-42d, No. 122.

a b c (Å): 5.188 5.188 8.862
angles (deg): 107.02 107.02 90.00
Positions (direct):
1 Pt 0.603 0.375 0.250
2 Pt 0.647 0.875 0.250
3 Pt 0.625 0.353 0.750
4 Pt 0.125 0.397 0.750
5 Ba 0.250 0.750 0.500
6 Ba 0.000 0.000 0.000
7 As 0.750 0.250 0.500
8 As 0.500 0.500 0.000


Be3Au5 | GGA-PBEsol | relaxed

Summary:
The total magnetization is 0.0 μB/cell. Its formation energy from the elements is -114 meV/atom. The value obtained for the polymorph energy (0 for the lowest one) is 0.0 meV per atom. The total energy is -32.54 eV per formula unit. As for the space group: I4/mcm, No. 140.

a b c (Å): 5.280 6.998 6.998
angles (deg): 81.82 67.84 67.84
Positions (direct):
1 Be 0.750 0.000 0.000
2 Be 0.837 0.826 0.500
3 Be 0.663 0.500 0.174
4 Be 0.250 0.000 0.000
5 Be 0.337 0.500 0.826
6 Be 0.163 0.174 0.500
7 Au 0.425 0.865 0.286
8 Au 0.710 0.714 0.865
9 Au 0.290 0.286 0.135
10 Au 0.250 0.500 0.500
11 Au 0.750 0.500 0.500
12 Au 0.210 0.865 0.714
13 Au 0.575 0.135 0.714
14 Au 0.790 0.135 0.286
15 Au 0.925 0.286 0.865
16 Au 0.075 0.714 0.135


Nd2Al | GGA-PBEsol | relaxed

Summary:
The total magnetization is 0.0 μB/cell. Its formation energy from the elements is -239 meV/atom. The total energy is -15.14 eV per formula unit. As for the space group: Pnma, No. 62.

a b c (Å): 5.185 6.606 9.752
angles (deg): 90.00 90.00 90.00
Positions (direct):
1 Nd 0.750 0.026 0.705
2 Nd 0.750 0.191 0.078
3 Nd 0.250 0.474 0.205
4 Nd 0.750 0.691 0.422
5 Nd 0.750 0.526 0.795
6 Nd 0.250 0.309 0.578
7 Nd 0.250 0.809 0.922
8 Nd 0.250 0.974 0.295
9 Al 0.750 0.708 0.102
10 Al 0.750 0.208 0.398
11 Al 0.250 0.792 0.602
12 Al 0.250 0.292 0.898